(1)
The following is a DFT calculation (PBE-GGA) of NaScP2Pt4 after structural relaxation.

Cell and atoms, written as POSCAR:
```
NaScP2Pt4
1.0
3.994 0.000 0.000
0.000 3.994 0.000
0.000 0.000 9.619
P Pt Na Sc
2 4 1 1
Direct
0.500 0.500 0.667
0.500 0.500 0.333
0.500 0.000 0.204
0.000 0.500 0.204
0.500 0.000 0.796
0.000 0.500 0.796
0.000 0.000 0.500
0.000 0.000 0.000
```

Properties
- formation energy (eV/atom) = -0.69
- E_tot (eV/cell) = -48.176

---

(2)
The following is a DFT calculation (PBE-GGA) of NaP2PtSe8 after structural relaxation.

Cell and atoms, written as POSCAR:
```
NaP2PtSe8
1.0
5.921 0.000 0.000
2.961 5.128 0.000
2.961 1.709 10.482
Se P Na Pt
8 2 1 1
Direct
0.306 0.901 0.152
0.641 0.306 0.152
0.191 0.191 0.428
0.901 0.641 0.152
0.099 0.359 0.848
0.809 0.809 0.572
0.694 0.099 0.848
0.359 0.694 0.848
0.741 0.741 0.778
0.259 0.259 0.222
0.500 0.500 0.500
0.000 0.000 0.000
```

Properties
- energy relative to the elements, uncorrected (eV per atom) = -0.143
- E_tot (eV/cell) = -47.776

---

(3)
The following is a DFT calculation (PBE-GGA) of Na3SiP2Pt9 after structural relaxation.

Cell and atoms, written as POSCAR:
```
Na3SiP2Pt9
1.0
6.418 0.000 0.000
-3.209 5.558 0.000
0.000 0.000 8.057
Pt P Na Si
9 2 3 1
Direct
0.142 0.284 0.274
0.858 0.142 0.726
0.500 0.000 0.000
0.716 0.858 0.274
0.500 0.500 0.000
0.142 0.858 0.274
0.284 0.142 0.726
0.000 0.500 0.000
0.858 0.716 0.726
0.333 0.667 0.186
0.667 0.333 0.814
0.667 0.333 0.354
0.000 0.000 0.000
0.333 0.667 0.646
0.000 0.000 0.500
```

Properties
- energy relative to the elements, uncorrected (eV per atom) = -0.324
- E_tot (eV/cell) = -79.424

---

(4)
The following is a DFT calculation (PBE-GGA) of NaSmP2Pt2 after structural relaxation.

Cell and atoms, written as POSCAR:
```
NaSmP2Pt2
1.0
-1.934 -2.639 -2.381
3.039 2.218 -1.489
5.611 -6.162 2.272
Pt Sm P Na
2 1 2 1
Direct
0.333 0.667 0.248
0.667 0.333 0.752
0.000 0.000 0.000
0.333 0.667 0.772
0.667 0.333 0.228
0.000 0.000 0.500
```

Properties
- formation energy (eV/atom) = -0.94
- E_tot (eV/cell) = -34.563

---

(5)
The following is a DFT calculation (PBE-GGA) of NaSr2P3Pt12 after structural relaxation.

Cell and atoms, written as POSCAR:
```
NaSr2P3Pt12
1.0
-2.691 -6.209 3.320
5.237 -5.405 0.411
2.650 -0.752 7.015
P Pt Sr Na
3 12 2 1
Direct
0.500 0.000 0.000
0.000 0.500 0.000
0.000 0.000 0.500
0.374 0.868 0.868
0.905 0.333 0.333
0.667 0.095 0.667
0.868 0.868 0.374
0.333 0.333 0.905
0.132 0.132 0.626
0.626 0.132 0.132
0.667 0.667 0.095
0.132 0.626 0.132
0.333 0.905 0.333
0.095 0.667 0.667
0.868 0.374 0.868
0.606 0.606 0.606
0.394 0.394 0.394
0.000 0.000 0.000
```

Properties
- formation energy (eV/atom) = -0.28
- E_tot (eV/cell) = -98.419

---

(6)
The following is a DFT calculation (PBE-GGA) of NaTbP2Pt4 after structural relaxation.

Cell and atoms, written as POSCAR:
```
NaTbP2Pt4
1.0
4.020 0.000 0.000
0.000 4.020 0.000
0.000 0.000 9.964
Na P Pt Tb
1 2 4 1
Direct
0.000 0.000 0.500
0.500 0.500 0.341
0.500 0.500 0.659
0.000 0.500 0.781
0.500 0.000 0.781
0.500 0.000 0.219
0.000 0.500 0.219
0.000 0.000 0.000
```

Properties
- formation energy (eV/atom) = -0.71
- E_tot (eV/cell) = -46.597

---

- Which value of E_tot does entry 2 give?
  -47.776 eV/cell